Entry from Alexandria: an optimized crystal structure of KCdHg3 (PBE).

Calculated values
Symmetry: No. 2
Offset from the most stable computed form (meV per atom): 0
DOS(E_F) (states/eV/cell): 3.5
Crystal system: triclinic
Spin magnetization (μB/atom): 0.00
Energy of formation from the pure elements (eV per atom): -0.1653
Total energy (eV/atom): -0.749

a b c (Å): 6.6856 6.5237 6.7916
angles (deg): 89.96 90.03 94.95
Last column: nearest neighbours and their distance in Å.
Sites, in units of the cell vectors:
Hg 0.7655 0.3769 0.2009  1 Cd 2.94, 4 Hg 3.14
Hg 0.8817 0.0740 0.7006  1 Cd 2.95, 4 Hg 3.14-3.15
Hg 0.4869 0.0597 0.4470  2 Cd 3.04-3.08, 4 Hg 3.14-3.34
Hg 0.1597 0.3910 0.9470  2 Cd 3.04-3.07, 4 Hg 3.14-3.35
Hg 0.4873 0.0605 0.9546  2 Cd 3.04-3.08, 4 Hg 3.14-3.34
Hg 0.1601 0.3918 0.4544  2 Cd 3.04-3.08, 4 Hg 3.14-3.35
K 0.9836 0.9023 0.2011  10 Hg 3.53-3.93, 4 Cd 3.60-3.79
K 0.6634 0.5487 0.7005  10 Hg 3.54-3.93, 4 Cd 3.59-3.79
Cd 0.4482 0.6628 0.2002  5 Hg 2.94-3.08
Cd 0.1997 0.7885 0.7014  5 Hg 2.95-3.08

***

Entry from Alexandria: an optimized crystal structure of K2Cd2Hg (PBE).

Calculated values
Symmetry: No. 139
Offset from the most stable computed form (meV per atom): 124
DOS(E_F) (states/eV/cell): 2.4
Crystal system: tetragonal
Spin magnetization (μB/atom): 0.00
Energy of formation from the pure elements (eV per atom): -0.0141
Total energy (eV/atom): -0.879

a b c (Å): 6.8949 6.8949 6.4544
angles (deg): 57.72 57.72 90.00
Last column: nearest neighbours and their distance in Å.
Sites, in units of the cell vectors:
K 0.7500 0.2500 0.5000  4 Cd 3.52
K 0.2500 0.7500 0.5000  4 Cd 3.52
Cd 0.3361 0.3361 0.3277  1 Cd 2.77, 1 Hg 2.84
Cd 0.6639 0.6639 0.6723  1 Cd 2.77, 1 Hg 2.84
Hg 0.0000 0.0000 0.0000  2 Cd 2.84

***

Entry from Alexandria: an optimized crystal structure of K3Cd2Hg7 (PBE).

Calculated values
Symmetry: No. 166
DOS(E_F) (states/eV/cell): 6.4
Crystal system: trigonal
Spin magnetization (μB/atom): 0.00
Energy of formation from the pure elements (eV per atom): -0.1644
Total energy (eV/atom): -0.767

a b c (Å): 6.3576 6.3576 11.0782
angles (deg): 73.32 73.33 60.00
Last column: nearest neighbours and their distance in Å.
Sites, in units of the cell vectors:
K 0.1431 0.1431 0.5708  12 Hg 3.69-3.80, 3 K 3.96
K 0.8569 0.8569 0.4292  12 Hg 3.69-3.80, 3 K 3.96
K 0.0000 0.0000 0.0000  6 Cd 3.67
Hg 0.9248 0.4127 0.2498  5 Hg 3.10-3.26, 2 Cd 3.16-3.22
Hg 0.4127 0.4127 0.2498  5 Hg 3.10-3.26, 2 Cd 3.16-3.22
Hg 0.5000 0.5000 0.5000  6 Hg 3.22
Hg 0.5873 0.5873 0.7502  5 Hg 3.10-3.26, 2 Cd 3.16-3.22
Hg 0.4127 0.9248 0.2498  5 Hg 3.10-3.26, 2 Cd 3.16-3.22
Hg 0.5873 0.0752 0.7502  5 Hg 3.10-3.26, 2 Cd 3.16-3.22
Hg 0.0752 0.5873 0.7502  5 Hg 3.10-3.26, 2 Cd 3.16-3.22
Cd 0.6645 0.6645 0.0065  6 Hg 3.16-3.22
Cd 0.3355 0.3355 0.9935  6 Hg 3.16-3.22

***

Entry from Alexandria: an optimized crystal structure of K3Cd3Hg2 (PBE).

Calculated values
Symmetry: No. 62
Offset from the most stable computed form (meV per atom): 7
DOS(E_F) (states/eV/cell): 15.4
Crystal system: orthorhombic
Spin magnetization (μB/atom): 0.00
Energy of formation from the pure elements (eV per atom): -0.1508
Total energy (eV/atom): -0.981

a b c (Å): 6.7160 9.3046 17.9655
angles (deg): 90.00 90.00 90.00
Last column: nearest neighbours and their distance in Å.
Sites, in units of the cell vectors:
K 0.6167 0.3211 0.2500  5 Cd 3.57-3.87, 4 Hg 3.70
K 0.8833 0.8211 0.2500  5 Cd 3.57-3.87, 4 Hg 3.70
K 0.3833 0.6789 0.7500  5 Cd 3.57-3.87, 4 Hg 3.70
K 0.8839 0.5342 0.8921  3 Hg 3.59-3.66, 7 Cd 3.67-3.92
K 0.1161 0.4658 0.3921  3 Hg 3.59-3.66, 7 Cd 3.67-3.92
K 0.3839 0.9658 0.3921  3 Hg 3.59-3.66, 7 Cd 3.67-3.92
K 0.6161 0.0342 0.6079  3 Hg 3.59-3.66, 7 Cd 3.67-3.92
K 0.6161 0.0342 0.8921  3 Hg 3.59-3.66, 7 Cd 3.67-3.92
K 0.1161 0.4658 0.1079  3 Hg 3.59-3.66, 7 Cd 3.67-3.92
K 0.1167 0.1789 0.7500  5 Cd 3.57-3.87, 4 Hg 3.70
K 0.8839 0.5342 0.6079  3 Hg 3.59-3.66, 7 Cd 3.67-3.92
K 0.3839 0.9658 0.1079  3 Hg 3.59-3.66, 7 Cd 3.67-3.92
Cd 0.1060 0.1836 0.5346  3 Hg 3.01-3.04
Cd 0.1101 0.1772 0.2500  2 Hg 3.03
Cd 0.6060 0.3164 0.0346  3 Hg 3.01-3.04
Cd 0.1060 0.1836 0.9654  3 Hg 3.01-3.04
Cd 0.6060 0.3164 0.4654  3 Hg 3.01-3.04
Cd 0.3940 0.6836 0.9654  3 Hg 3.01-3.04
Cd 0.8940 0.8164 0.0346  3 Hg 3.01-3.04
Cd 0.3940 0.6836 0.5346  3 Hg 3.01-3.04
Cd 0.8940 0.8164 0.4654  3 Hg 3.01-3.04
Cd 0.8899 0.8228 0.7500  2 Hg 3.03
Cd 0.6101 0.3228 0.7500  2 Hg 3.03
Cd 0.3899 0.6772 0.2500  2 Hg 3.03
Hg 0.3869 0.3915 0.6080  4 Cd 3.01-3.04
Hg 0.8869 0.1085 0.3920  4 Cd 3.01-3.04
Hg 0.1131 0.8915 0.8920  4 Cd 3.01-3.04
Hg 0.8869 0.1085 0.1080  4 Cd 3.01-3.04
Hg 0.6131 0.6085 0.3920  4 Cd 3.01-3.04
Hg 0.6131 0.6085 0.1080  4 Cd 3.01-3.04
Hg 0.3869 0.3915 0.8920  4 Cd 3.01-3.04
Hg 0.1131 0.8915 0.6080  4 Cd 3.01-3.04

***

Entry from Alexandria: an optimized crystal structure of KCd2Hg2 (PBE).

Calculated values
Symmetry: No. 139
Offset from the most stable computed form (meV per atom): 0
DOS(E_F) (states/eV/cell): 2.1
Crystal system: tetragonal
Spin magnetization (μB/atom): 0.00
Energy of formation from the pure elements (eV per atom): -0.1500
Total energy (eV/atom): -0.856

a b c (Å): 4.7935 4.7935 7.3484
angles (deg): 70.96 70.96 90.00
Last column: nearest neighbours and their distance in Å.
Sites, in units of the cell vectors:
Hg 0.6125 0.6125 0.7751  1 Hg 2.93, 4 Cd 2.99
Hg 0.3875 0.3875 0.2249  1 Hg 2.93, 4 Cd 2.99
Cd 0.7500 0.2500 0.5000  4 Hg 2.99
Cd 0.2500 0.7500 0.5000  4 Hg 2.99
K 0.0000 0.0000 0.0000  8 Hg 3.69, 8 Cd 4.05

***

Entry from Alexandria: an optimized crystal structure of KCd3Hg2 (PBE).

Calculated values
Symmetry: No. 139
DOS(E_F) (states/eV/cell): 5.6
Crystal system: tetragonal
Spin magnetization (μB/atom): 0.00
Energy of formation from the pure elements (eV per atom): -0.0711
Total energy (eV/atom): -0.812

a b c (Å): 4.7026 4.7026 16.3812
angles (deg): 98.25 98.25 90.00
Last column: nearest neighbours and their distance in Å.
Sites, in units of the cell vectors:
Cd 0.4550 0.9550 0.9100  1 Cd 2.89, 2 Hg 3.01
Cd 0.6927 0.6927 0.3854  5 Hg 2.86-2.98
Cd 0.9550 0.4550 0.9100  1 Cd 2.89, 2 Hg 3.01
Cd 0.3073 0.3073 0.6146  5 Hg 2.86-2.98
Cd 0.0450 0.5450 0.0900  1 Cd 2.89, 2 Hg 3.01
Cd 0.5450 0.0450 0.0900  1 Cd 2.89, 2 Hg 3.01
Hg 0.7500 0.2500 0.5000  4 Cd 2.98, 4 Hg 3.33
Hg 0.6036 0.6036 0.2073  5 Cd 2.86-3.01
Hg 0.2500 0.7500 0.5000  4 Cd 2.98, 4 Hg 3.33
Hg 0.3964 0.3964 0.7927  5 Cd 2.86-3.01
K 0.1472 0.1472 0.2944  4 Hg 3.61, 8 Cd 3.63-4.03
K 0.8528 0.8528 0.7056  4 Hg 3.61, 8 Cd 3.63-4.03

***

Entry from Alexandria: an optimized crystal structure of KCd4Hg6 (PBE).

Calculated values
Symmetry: No. 187
Offset from the most stable computed form (meV per atom): 0
DOS(E_F) (states/eV/cell): 2.7
Crystal system: hexagonal
Spin magnetization (μB/atom): 0.00
Energy of formation from the pure elements (eV per atom): -0.0718
Total energy (eV/atom): -0.669

a b c (Å): 4.5631 8.7267 8.7267
angles (deg): 120.00 90.00 90.00
Last column: nearest neighbours and their distance in Å.
Sites, in units of the cell vectors:
Hg 0.5000 0.1911 0.3822  4 Cd 3.01-3.13
Hg 0.0000 0.9387 0.4694  5 Cd 2.98-3.03
Hg 0.0000 0.5306 0.0613  5 Cd 2.98-3.03
Hg 0.5000 0.1911 0.8089  4 Cd 3.01-3.13
Hg 0.0000 0.5306 0.4694  5 Cd 2.98-3.03
Hg 0.5000 0.6178 0.8089  4 Cd 3.01-3.13
K 0.0000 0.0000 0.0000  6 Hg 3.68, 6 Cd 3.87
Cd 0.5000 0.4129 0.2064  6 Hg 3.01-3.03, 2 Cd 3.32
Cd 0.5000 0.7936 0.5871  6 Hg 3.01-3.03, 2 Cd 3.32
Cd 0.5000 0.7936 0.2064  6 Hg 3.01-3.03, 2 Cd 3.32
Cd 0.0000 0.3333 0.6667  9 Hg 2.98-3.13

***

Entry from Alexandria: an optimized crystal structure of K8Cd2Hg (PBE).

Calculated values
Symmetry: No. 71
DOS(E_F) (states/eV/cell): 6.2
Crystal system: orthorhombic
Spin magnetization (μB/atom): 0.00
Energy of formation from the pure elements (eV per atom): -0.0325
Total energy (eV/atom): -1.024

a b c (Å): 6.0534 10.3184 10.6789
angles (deg): 118.89 106.46 90.00
Last column: nearest neighbours and their distance in Å.
Sites, in units of the cell vectors:
Hg 0.5000 0.0000 0.0000  8 K 3.91-4.03
K 0.1401 0.1401 0.2801  2 Hg 3.91, 8 K 4.09-4.22, 2 Cd 4.21
K 0.3414 0.5609 0.6829  3 Cd 3.83-3.89, 1 Hg 4.03, 5 K 4.14-4.22
K 0.8599 0.8599 0.7199  2 Hg 3.91, 8 K 4.09-4.22, 2 Cd 4.21
K 0.6586 0.8780 0.3171  3 Cd 3.83-3.89, 1 Hg 4.03, 5 K 4.14-4.22
K 0.6586 0.4391 0.3171  3 Cd 3.83-3.89, 1 Hg 4.03, 5 K 4.14-4.22
K 0.0000 0.3158 0.0000  7 K 3.80-4.14, 2 Cd 3.93
K 0.0000 0.6842 0.0000  7 K 3.80-4.14, 2 Cd 3.93
K 0.3414 0.1220 0.6829  3 Cd 3.83-3.89, 1 Hg 4.03, 5 K 4.14-4.22
Cd 0.1943 0.6943 0.3886  10 K 3.83-4.21
Cd 0.8057 0.3057 0.6114  10 K 3.83-4.21